No. 1
# Cd24Ag5 PBE-GGA relaxed
# **Total energy**: -1.203 eV per atom
# **Formation energy**: 46.1 meV/atom
# **Crystal system**: cubic
# **D(E_F)**: 8.4 states/eV/f.u.
# **Magnetization**: 0.0 μB per cell
data_Cd24Ag5
_chemical_formula_sum 'Cd48 Ag10'
_symmetry_space_group_name_H-M 'I -4 3 m'
_symmetry_Int_Tables_number 217
_symmetry_space_group_name_Hall 'I -4 2 3'
_cell_length_a 10.827
_cell_length_b 10.827
_cell_length_c 10.827
_cell_angle_alpha 90.00
_cell_angle_beta 90.00
_cell_angle_gamma 90.00
loop_
_atom_site_label
_atom_site_type_symbol
_atom_site_fract_x
_atom_site_fract_y
_atom_site_fract_z
_atom_site_occupancy
Cd1 Cd 0.059 0.363 0.363 1
Cd2 Cd 0.095 0.095 0.284 1
Ag1 Ag 0.000 0.000 0.000 1
Ag2 Ag 0.157 0.157 0.843 1

No. 2
# Cd5Ag4 PBE-GGA relaxed
# **Total energy**: -1.770 eV per atom
# **ΔE to the lowest computed polymorph**: 45 meV per atom
# **Formation energy**: 5.3 meV/atom
# **Crystal system**: tetragonal
# **D(E_F)**: 2.4 states/eV/f.u.
# **Magnetization**: 0.0 μB per cell
data_Cd5Ag4
_chemical_formula_sum 'Cd10 Ag8'
_symmetry_space_group_name_H-M 'I 4/m m m'
_symmetry_Int_Tables_number 139
_symmetry_space_group_name_Hall '-I 4 2'
_cell_length_a 10.511
_cell_length_b 10.511
_cell_length_c 3.237
_cell_angle_alpha 90.00
_cell_angle_beta 90.00
_cell_angle_gamma 90.00
loop_
_atom_site_label
_atom_site_type_symbol
_atom_site_fract_x
_atom_site_fract_y
_atom_site_fract_z
_atom_site_occupancy
Cd1 Cd 0.000 0.000 0.000 1
Cd2 Cd 0.168 0.168 0.500 1
Ag1 Ag 0.000 0.338 0.000 1